(1)
Compound: La8Nd6Al
Source: Alexandria via LeMat-Bulk
Functional: PBE
Structure: optimized geometry

Total magnetic moment (μB per cell): 0.0
DFT formation energy (meV/atom): 67
SG: P-3, No. 147

Cell: 6.744 9.488 9.488 Å, 120.00 90.00 90.00°
Fractional positions:
La1 0.817 0.046 0.269
La2 0.817 0.731 0.777
La3 0.817 0.223 0.954
La4 0.183 0.954 0.731
La5 0.183 0.269 0.223
La6 0.183 0.777 0.046
La7 0.872 0.333 0.667
La8 0.128 0.667 0.333
Nd1 0.661 0.652 0.095
Nd2 0.661 0.905 0.558
Nd3 0.661 0.442 0.348
Nd4 0.339 0.348 0.905
Nd5 0.339 0.095 0.442
Nd6 0.339 0.558 0.652
Al1 0.500 0.000 0.000

***

(2)
Compound: LaNd7Al4
Source: Alexandria via LeMat-Bulk
Functional: PBE
Structure: optimized geometry

Total magnetic moment (μB per cell): 0.4
DFT formation energy (meV/atom): -73
SG: C2/m, No. 12

Cell: 5.704 9.404 7.628 Å, 77.74 68.04 72.35°
Each line ends with the local moment (μB).
Fractional positions:
La1 0.000 0.000 0.000  0.16
Nd1 0.794 0.879 0.534  0.00
Nd2 0.206 0.121 0.466  0.00
Nd3 0.066 0.611 0.257  0.00
Nd4 0.934 0.389 0.743  0.00
Nd5 0.297 0.643 0.762  0.00
Nd6 0.500 0.000 0.000  0.16
Nd7 0.703 0.357 0.238  0.00
Al1 0.551 0.241 0.656  0.00
Al2 0.449 0.759 0.344  0.00
Al3 0.675 0.669 0.980  0.00
Al4 0.325 0.331 0.020  0.00

***

(3)
Compound: La2Nd2Al
Source: Alexandria via LeMat-Bulk
Functional: PBE
Structure: optimized geometry

Total magnetic moment (μB per cell): 0.0
DFT formation energy (meV/atom): 331
SG: R-3m, No. 166

Cell: 4.930 4.930 9.007 Å, 74.12 74.12 60.00°
Fractional positions:
La1 0.568 0.568 0.296
La2 0.432 0.432 0.704
Nd1 0.292 0.292 0.123
Nd2 0.708 0.708 0.877
Al1 0.000 0.000 0.000

***

(4)
Compound: LaNd5Al2
Source: Alexandria via LeMat-Bulk
Functional: PBE
Structure: optimized geometry

Total magnetic moment (μB per cell): 0.0
DFT formation energy (meV/atom): -80
SG: Immm, No. 71

Cell: 3.731 8.449 8.449 Å, 78.30 77.25 77.25°
Fractional positions:
La1 0.000 0.000 0.000
Nd1 0.000 0.500 0.500
Nd2 0.642 0.577 0.139
Nd3 0.358 0.423 0.861
Nd4 0.358 0.861 0.423
Nd5 0.642 0.139 0.577
Al1 0.730 0.770 0.770
Al2 0.270 0.230 0.230

***

(5)
Compound: LaNd3Al4
Source: Alexandria via LeMat-Bulk
Functional: PBE
Structure: optimized geometry

Total magnetic moment (μB per cell): 0.0
DFT formation energy (meV/atom): -352
SG: P4/mmm, No. 123

Cell: 5.293 7.509 10.588 Å, 90.00 90.00 90.00°
Fractional positions:
Nd1 0.000 0.000 0.000
Nd2 0.000 0.000 0.500
Nd3 0.500 0.000 0.750
Nd4 0.500 0.000 0.250
Nd5 0.500 0.500 0.750
Nd6 0.500 0.500 0.250
Al1 0.500 0.755 0.000
Al2 0.500 0.755 0.500
Al3 0.500 0.245 0.000
Al4 0.500 0.245 0.500
Al5 0.000 0.755 0.750
Al6 0.000 0.755 0.250
Al7 0.000 0.245 0.250
Al8 0.000 0.245 0.750
La1 0.000 0.500 0.000
La2 0.000 0.500 0.500

***

(6)
Compound: La3NdAl2
Source: Alexandria via LeMat-Bulk
Functional: PBE
Structure: optimized geometry

Total magnetic moment (μB per cell): 0.0
DFT formation energy (meV/atom): -257
SG: Pmc2_1, No. 26

Cell: 5.338 6.833 9.981 Å, 90.00 90.00 90.00°
Fractional positions:
La1 0.000 0.479 0.948
La2 0.000 0.979 0.052
La3 0.500 0.696 0.171
La4 0.500 0.196 0.829
La5 0.000 0.306 0.330
La6 0.000 0.806 0.670
Nd1 0.500 0.518 0.552
Nd2 0.500 0.018 0.448
Al1 0.500 0.712 0.850
Al2 0.500 0.212 0.150
Al3 0.000 0.290 0.647
Al4 0.000 0.790 0.353

***

(7)
Compound: La3NdAl8
Source: Alexandria via LeMat-Bulk
Functional: PBE
Structure: optimized geometry

Total magnetic moment (μB per cell): 0.0
DFT formation energy (meV/atom): -501
SG: R3m, No. 160

Cell: 5.735 5.735 9.936 Å, 73.22 73.22 60.00°
Fractional positions:
La1 0.375 0.375 0.875
La2 0.001 0.001 0.998
La3 0.500 0.500 0.501
Nd1 0.875 0.875 0.376
Al1 0.936 0.437 0.189
Al2 0.438 0.938 0.685
Al3 0.437 0.437 0.189
Al4 0.938 0.938 0.685
Al5 0.188 0.188 0.437
Al6 0.687 0.687 0.938
Al7 0.437 0.936 0.189
Al8 0.938 0.438 0.685

***

(8)
Compound: LaNdAl3
Source: Alexandria via LeMat-Bulk
Functional: PBE
Structure: optimized geometry

Total magnetic moment (μB per cell): 0.0
DFT formation energy (meV/atom): -415
SG: Cmcm, No. 63

Cell: 4.416 4.401 13.786 Å, 99.19 90.00 90.00°
Fractional positions:
La1 0.250 0.073 0.145
La2 0.750 0.927 0.855
Nd1 0.250 0.795 0.590
Nd2 0.750 0.205 0.410
Al1 0.250 0.381 0.762
Al2 0.750 0.619 0.238
Al3 0.250 0.476 0.952
Al4 0.750 0.524 0.048
Al5 0.750 0.328 0.656
Al6 0.250 0.672 0.344